1.
The following is a DFT calculation (PBE) of a relaxed structure of Sm2AlHg.

```
4
Lattice="3.7506 0.0000 0.0000 1.8753 3.2481 0.0000 1.8753 1.0827 9.3234" Properties=species:S:1:pos:R:3 pbc="T T T"
Hg 3.7506 2.1654 4.6617
Sm 1.8753 1.0827 2.2419
Sm 5.6259 3.2481 7.0814
Al 0.0000 0.0000 0.0000
```

Output
The value obtained for the total energy is -3.615 eV per atom. The calculation puts the offset from the most stable computed form at 184 meV/atom. Its space-group type is R-3m.

2.
The following is a DFT calculation (PBE) of a relaxed structure of Sm8Al2Hg.

```
11
Lattice="-0.0913 4.2415 2.8641 -6.8790 -1.5836 2.1257 5.5897 -6.0652 4.5861" Properties=species:S:1:pos:R:3 pbc="T T T"
Sm 0.8099 -4.0390 6.0072
Sm -4.7289 -0.6839 5.4361
Sm -1.5607 -1.3883 6.5804
Sm 3.5516 -2.0191 7.6776
Sm 0.1800 -2.0189 2.9956
Sm 3.3483 -2.7234 4.1399
Sm -2.1906 0.6317 3.5687
Sm -4.9322 -1.3881 1.8984
Al 1.3731 -0.7819 5.7759
Al -2.7537 -2.6253 3.8000
Hg -0.0457 2.1207 1.4320
```

Output
The value obtained for the total energy is -4.321 eV per atom. The calculation puts the offset from the most stable computed form at 0 meV/atom. Its space-group type is C2/m.

no.,size of the total moment (μB/f.u.)
1,0.0
2,0.0